A geometry-optimized Dy2NiCl2 structure, computed with PBE-GGA.

## Properties
The uncorrected formation energy is -1.34 eV per atom. The magnetization comes out at 0.00 μB per atom. The theoretical density is 5.75 g/cm³. The density of states at the Fermi level comes out at 4.57 states/eV per cell. The calculated volume is 26.3 Å³/atom.

Cell and atoms, written as CIF:
```
data_Dy2NiCl2
_chemical_formula_sum 'Dy6 Ni3 Cl6'
_symmetry_space_group_name_H-M 'R -3 m'
_symmetry_Int_Tables_number 166
_symmetry_space_group_name_Hall '-R 3 2"'
_cell_length_a 3.8154
_cell_length_b 3.8154
_cell_length_c 31.2397
_cell_angle_alpha 90.00
_cell_angle_beta 90.00
_cell_angle_gamma 120.00
loop_
_atom_site_label
_atom_site_fract_x
_atom_site_fract_y
_atom_site_fract_z
_atom_site_occupancy
Dy1 0.0000 0.0000 0.1148 1
Ni1 0.0000 0.0000 0.5000 1
Cl1 0.0000 0.0000 0.2750 1
```